Record 1
# PuZr3Bi2 | the Alexandria database | PBE | optimized geometry
data_PuZr3Bi2
_cell_length_a 19.7824
_cell_length_b 3.9130
_cell_length_c 8.9927
_cell_angle_alpha 90.00
_cell_angle_beta 116.67
_cell_angle_gamma 90.00
_space_group_name_H-M_alt 'C 1 2/m 1'
_space_group_IT_number 12
loop_
_space_group_symop_operation_xyz
'x,y,z'
'-x,-y,-z'
'-x,y,-z'
'x,-y,z'
'x+1/2,y+1/2,z'
'-x+1/2,-y+1/2,-z'
'-x+1/2,y+1/2,-z'
'x+1/2,-y+1/2,z'
loop_
_atom_site_label
_atom_site_type_symbol
_atom_site_fract_x
_atom_site_fract_y
_atom_site_fract_z
_atom_site_occupancy
Pu1 Pu 0.0942 0.0000 0.0912 1
Zr1 Zr 0.0821 0.0000 0.5821 1
Zr2 Zr 0.1794 0.5000 0.8715 1
Zr3 Zr 0.1805 0.5000 0.4895 1
Bi1 Bi 0.0009 0.5000 0.2653 1
Bi2 Bi 0.2376 0.5000 0.2371 1
# - size of the total moment (μB/f.u.) = 5.75
# - total DFT energy (no corrections) (eV per cell) = -195.68
# - E_form (eV per atom) = -0.197


Record 2
# Cu15PdAu4 | the Alexandria database | PBE | optimized geometry
data_Cu15PdAu4
_cell_length_a 3.7864
_cell_length_b 3.7864
_cell_length_c 18.6987
_cell_angle_alpha 90.00
_cell_angle_beta 90.00
_cell_angle_gamma 90.00
_space_group_name_H-M_alt 'P 4/m m m'
_space_group_IT_number 123
_space_group_name_Hall '-P 4 2'
loop_
_atom_site_label
_atom_site_type_symbol
_atom_site_fract_x
_atom_site_fract_y
_atom_site_fract_z
_atom_site_occupancy
Cu1 Cu 0.0000 0.0000 0.0000 1
Cu2 Cu 0.0000 0.0000 0.1972 1
Cu3 Cu 0.0000 0.0000 0.3990 1
Cu4 Cu 0.0000 0.5000 0.0966 1
Cu5 Cu 0.0000 0.5000 0.2981 1
Cu6 Cu 0.0000 0.5000 0.5000 1
Pd1 Pd 0.5000 0.5000 0.0000 1
Au1 Au 0.5000 0.5000 0.1974 1
Au2 Au 0.5000 0.5000 0.3992 1
# - size of the total moment (μB/f.u.) = 0.00
# - total DFT energy (no corrections) (eV per cell) = -80.91
# - E_form (eV per atom) = -0.058


Record 3
# AcInIrN | the Alexandria database | PBE | optimized geometry
data_AcInIrN
_cell_length_a 4.2083
_cell_length_b 4.2083
_cell_length_c 9.5531
_cell_angle_alpha 90.00
_cell_angle_beta 90.00
_cell_angle_gamma 90.00
_space_group_name_H-M_alt 'P 4/n m m'
_space_group_IT_number 129
loop_
_space_group_symop_operation_xyz
'x,y,z'
'-x,-y,-z'
'-y+1/2,x,z'
'y+1/2,-x,-z'
'-x+1/2,-y+1/2,z'
'x+1/2,y+1/2,-z'
'y,-x+1/2,z'
'-y,x+1/2,-z'
'x+1/2,-y,-z'
'-x+1/2,y,z'
'-y,-x,-z'
'y,x,z'
'-x,y+1/2,-z'
'x,-y+1/2,z'
'y+1/2,x+1/2,-z'
'-y+1/2,-x+1/2,z'
loop_
_atom_site_label
_atom_site_type_symbol
_atom_site_fract_x
_atom_site_fract_y
_atom_site_fract_z
_atom_site_occupancy
Ac1 Ac 0.2500 0.2500 0.1478 1
In1 In 0.2500 0.7500 0.5000 1
Ir1 Ir 0.2500 0.2500 0.6889 1
N1 N 0.2500 0.2500 0.8914 1
# - raw formation energy (eV per formula unit) = -2.39
# - size of the total moment (μB/f.u.) = 0.00
# - total DFT energy (no corrections) (eV per cell) = -52.85


Record 4
# Cs2FeWCl6 | the Alexandria database | PBE | optimized geometry
data_Cs2FeWCl6
_cell_length_a 10.1324
_cell_length_b 10.1324
_cell_length_c 10.1324
_cell_angle_alpha 90.00
_cell_angle_beta 90.00
_cell_angle_gamma 90.00
_space_group_name_H-M_alt 'F m -3 m'
_space_group_IT_number 225
_space_group_name_Hall '-F 4 2 3'
loop_
_atom_site_label
_atom_site_type_symbol
_atom_site_fract_x
_atom_site_fract_y
_atom_site_fract_z
_atom_site_occupancy
Cs1 Cs 0.2500 0.2500 0.2500 1
Fe1 Fe 0.0000 0.0000 0.0000 1
W1 W 0.0000 0.0000 0.5000 1
Cl1 Cl 0.0000 0.0000 0.2538 1
# - raw formation energy (eV per formula unit) = -9.81
# - size of the total moment (μB/f.u.) = 6.00
# - total DFT energy (no corrections) (eV per cell) = -176.06


Record 5
# PrTmGaPd | the Alexandria database | PBE | optimized geometry
data_PrTmGaPd
_cell_length_a 4.4321
_cell_length_b 3.8171
_cell_length_c 11.3894
_cell_angle_alpha 90.00
_cell_angle_beta 90.00
_cell_angle_gamma 90.00
_space_group_name_H-M_alt 'A m m 2'
_space_group_IT_number 38
loop_
_space_group_symop_operation_xyz
'x,y,z'
'-x,-y,z'
'-x,y,z'
'x,-y,z'
'x,y+1/2,z+1/2'
'-x,-y+1/2,z+1/2'
'-x,y+1/2,z+1/2'
'x,-y+1/2,z+1/2'
loop_
_atom_site_label
_atom_site_type_symbol
_atom_site_fract_x
_atom_site_fract_y
_atom_site_fract_z
_atom_site_occupancy
Pr1 Pr 0.0000 0.0000 0.0000 1
Tm1 Tm 0.5000 0.0000 0.7132 1
Ga1 Ga 0.5000 0.0000 0.4197 1
Pd1 Pd 0.0000 0.0000 0.2731 1
# - size of the total moment (μB/f.u.) = 0.00
# - total DFT energy (no corrections) (eV per cell) = -40.44
# - E_form (eV per atom) = -0.688
# - energy above the lowest structure with this stoichiometry (meV per atom) = 0


Record 6
# PmDy2Ga4 | the Alexandria database | PBE | optimized geometry
data_PmDy2Ga4
_cell_length_a 4.1568
_cell_length_b 4.3075
_cell_length_c 18.2909
_cell_angle_alpha 90.00
_cell_angle_beta 90.00
_cell_angle_gamma 90.00
_space_group_name_H-M_alt 'I m m m'
_space_group_IT_number 71
_space_group_name_Hall '-I 2 2'
loop_
_atom_site_label
_atom_site_type_symbol
_atom_site_fract_x
_atom_site_fract_y
_atom_site_fract_z
_atom_site_occupancy
Pm1 Pm 0.0000 0.0000 0.0000 1
Dy1 Dy 0.0000 0.5000 0.3153 1
Ga1 Ga 0.0000 0.0000 0.4325 1
Ga2 Ga 0.0000 0.5000 0.1474 1
# - size of the total moment (μB/f.u.) = 0.00
# - total DFT energy (no corrections) (eV per cell) = -61.27
# - E_form (eV per atom) = -0.653


Record 7
# DyTmMgPa | the Alexandria database | PBE | optimized geometry
data_DyTmMgPa
_cell_length_a 7.6187
_cell_length_b 7.6187
_cell_length_c 7.6187
_cell_angle_alpha 90.00
_cell_angle_beta 90.00
_cell_angle_gamma 90.00
_space_group_name_H-M_alt 'F -4 3 m'
_space_group_IT_number 216
_space_group_name_Hall 'F -4 2 3'
loop_
_atom_site_label
_atom_site_type_symbol
_atom_site_fract_x
_atom_site_fract_y
_atom_site_fract_z
_atom_site_occupancy
Dy1 Dy 0.0000 0.0000 0.0000 1
Tm1 Tm 0.0000 0.0000 0.5000 1
Mg1 Mg 0.2500 0.2500 0.7500 1
Pa1 Pa 0.2500 0.2500 0.2500 1
# - size of the total moment (μB/f.u.) = 2.30
# - total DFT energy (no corrections) (eV per cell) = -75.13
# - E_form (eV per atom) = 0.346


Record 8
# CdPBr2 | the Alexandria database | PBE | optimized geometry
data_CdPBr2
_cell_length_a 7.0167
_cell_length_b 7.1585
_cell_length_c 3.6869
_cell_angle_alpha 90.00
_cell_angle_beta 90.00
_cell_angle_gamma 90.00
_space_group_name_H-M_alt 'C m m m'
_space_group_IT_number 65
_space_group_name_Hall '-C 2 2'
loop_
_atom_site_label
_atom_site_type_symbol
_atom_site_fract_x
_atom_site_fract_y
_atom_site_fract_z
_atom_site_occupancy
Cd1 Cd 0.0000 0.0000 0.0000 1
P1 P 0.0000 0.5000 0.0000 1
Br1 Br 0.2500 0.2500 0.5000 1
# - raw formation energy (eV per formula unit) = 1.91
# - size of the total moment (μB/f.u.) = 0.00
# - total DFT energy (no corrections) (eV per cell) = -15.53
# - energy above the lowest structure with this stoichiometry (meV per atom) = 697


Record 9
# ZnReOF2 | the Alexandria database | PBE | optimized geometry
data_ZnReOF2
_cell_length_a 4.2671
_cell_length_b 4.2671
_cell_length_c 3.7896
_cell_angle_alpha 90.00
_cell_angle_beta 90.00
_cell_angle_gamma 90.00
_space_group_name_H-M_alt 'P 4/m m m'
_space_group_IT_number 123
_space_group_name_Hall '-P 4 2'
loop_
_atom_site_label
_atom_site_type_symbol
_atom_site_fract_x
_atom_site_fract_y
_atom_site_fract_z
_atom_site_occupancy
Zn1 Zn 0.0000 0.0000 0.0000 1
Re1 Re 0.5000 0.5000 0.5000 1
O1 O 0.5000 0.5000 0.0000 1
F1 F 0.0000 0.5000 0.5000 1
# - raw formation energy (eV per formula unit) = -4.37
# - size of the total moment (μB/f.u.) = 0.00
# - total DFT energy (no corrections) (eV per cell) = -26.79
# - energy above the lowest structure with this stoichiometry (meV per atom) = 0


Record 10
# In2TcH5 | the Alexandria database | PBE | optimized geometry
data_In2TcH5
_cell_length_a 5.0122
_cell_length_b 5.0956
_cell_length_c 5.0982
_cell_angle_alpha 99.16
_cell_angle_beta 113.60
_cell_angle_gamma 113.17
_space_group_name_H-M_alt 'P 1'
_space_group_IT_number 1
loop_
_space_group_symop_operation_xyz
'x,y,z'
loop_
_atom_site_label
_atom_site_type_symbol
_atom_site_fract_x
_atom_site_fract_y
_atom_site_fract_z
_atom_site_occupancy
In1 In 0.0000 0.0000 0.0000 1
In2 In 0.0004 0.4517 0.5484 1
Tc1 Tc 0.8122 0.4218 0.9690 1
H1 H 0.2370 0.6325 0.1823 1
H2 H 0.4964 0.1602 0.0044 1
H3 H 0.4973 0.4602 0.7061 1
H4 H 0.5779 0.0990 0.6447 1
H5 H 0.7607 0.6556 0.2030 1
# - size of the total moment (μB/f.u.) = 0.00
# - total DFT energy (no corrections) (eV per cell) = -32.40


Question: Which value of size of the total moment does entry 1 give?
Answer: 5.75 μB/f.u.